1.
This record from Alexandria via LeMat-Bulk describes a relaxed structure of RbAc2BO5. The functional is PBE.

a = 7.239 Å, b = 7.239 Å, c = 7.234 Å
α = 120.02°, β = 120.02°, γ = 90.00°
Positions (direct):
Ac: 0.314 0.814 0.000
Ac: 0.686 0.186 0.000
Ac: 0.814 0.686 0.000
Ac: 0.186 0.314 0.000
O: 0.500 0.500 0.000
O: 0.960 0.460 0.688
O: 0.000 0.000 0.000
O: 0.540 0.272 0.312
O: 0.228 0.960 0.688
O: 0.040 0.540 0.312
O: 0.728 0.228 0.688
O: 0.272 0.772 0.312
O: 0.772 0.040 0.312
O: 0.460 0.728 0.688
B: 0.750 0.250 0.500
B: 0.250 0.750 0.500
Rb: 0.750 0.750 0.500
Rb: 0.250 0.250 0.500

Energy relative to the elements, uncorrected   -2.729 eV per atom
DFT total energy   -7.246 eV per atom

***

2.
This record from Alexandria via LeMat-Bulk describes a relaxed structure of Rb3AcB2O6. The functional is PBE.

a = 5.866 Å, b = 5.866 Å, c = 7.408 Å
α = 90.00°, β = 90.00°, γ = 120.00°
Positions (direct):
O: 0.196 0.391 0.292
O: 0.804 0.609 0.708
O: 0.804 0.196 0.708
O: 0.391 0.196 0.708
O: 0.609 0.804 0.292
O: 0.196 0.804 0.292
Ac: 0.000 0.000 0.500
B: 0.333 0.667 0.292
B: 0.667 0.333 0.708
Rb: 0.667 0.333 0.239
Rb: 0.333 0.667 0.761
Rb: 0.000 0.000 0.000

Energy relative to the elements, uncorrected   -2.417 eV per atom
DFT total energy   -6.593 eV per atom

***

3.
This record from Alexandria via LeMat-Bulk describes a relaxed structure of AcB2RhO6. The functional is PBE.

a = 4.995 Å, b = 4.995 Å, c = 6.305 Å
α = 66.66°, β = 66.66°, γ = 60.00°
Positions (direct):
B: 0.234 0.234 0.299
B: 0.766 0.766 0.701
O: 0.058 0.509 0.717
O: 0.942 0.491 0.283
O: 0.509 0.716 0.717
O: 0.284 0.942 0.283
O: 0.491 0.284 0.283
O: 0.716 0.058 0.717
Rh: 0.500 0.500 0.500
Ac: 0.000 0.000 0.000

Energy relative to the elements, uncorrected   -2.284 eV per atom
DFT total energy   -7.741 eV per atom

***

Question: DFT total energy of number 1 (RbAc2BO5)?
Answer: -7.246 eV per atom